Entry 1:
{
  "formula": "YHo2PuAs4",
  "functional": "PBE",
  "state": "relaxed",
  "energy_ev_per_atom": -7.468,
  "spacegroup": "P2/m",
  "dos_ef_per_ev_atom": 1.632,
  "crystal_system": "monoclinic",
  "ef_ev_per_fu": -11.19,
  "cell": [[4.121, 0.000, 0.000], [0.000, 7.116, -0.141], [0.000, 2.503, 6.663]],
  "species": ["As", "As", "As", "As", "Ho", "Ho", "Y", "Pu"],
  "frac_coords": [[0.500, 0.751, 0.249], [0.000, 0.250, 0.249], [0.000, 0.750, 0.751], [0.500, 0.249, 0.751], [0.000, 0.000, 0.000], [0.500, 0.000, 0.500], [0.000, 0.500, 0.500], [0.500, 0.500, 0.000]]
}

Entry 2:
{
  "formula": "Y2HoPuAs4",
  "functional": "PBE",
  "state": "relaxed",
  "energy_ev_per_atom": -7.711,
  "spacegroup": "P2/m",
  "dos_ef_per_ev_atom": 1.630,
  "crystal_system": "monoclinic",
  "ef_ev_per_fu": -11.25,
  "cell": [[-1.378, -3.853, 0.541], [5.657, -1.449, 4.090], [-5.307, 2.469, 4.072]],
  "species": ["Y", "Y", "As", "As", "As", "As", "Pu", "Ho"],
  "frac_coords": [[0.000, 0.500, 0.500], [0.500, 0.000, 0.500], [0.000, 0.750, 0.248], [0.000, 0.250, 0.752], [0.500, 0.751, 0.752], [0.500, 0.249, 0.248], [0.000, 0.000, 0.000], [0.500, 0.500, 0.000]]
}

Entry 3:
{
  "formula": "Ho2PuZrAs4",
  "functional": "PBE",
  "state": "relaxed",
  "energy_ev_per_atom": -7.632,
  "spacegroup": "P2/m",
  "dos_ef_per_ev_atom": 1.538,
  "crystal_system": "monoclinic",
  "ef_ev_per_fu": -10.42,
  "cell": [[-3.706, 0.611, -1.495], [1.728, -3.589, -5.750], [-2.643, -4.396, 4.758]],
  "species": ["As", "As", "As", "As", "Pu", "Zr", "Ho", "Ho"],
  "frac_coords": [[0.500, 0.255, 0.245], [0.500, 0.745, 0.755], [0.000, 0.259, 0.759], [0.000, 0.741, 0.241], [0.000, 0.000, 0.000], [0.500, 0.500, 0.000], [0.500, 0.000, 0.500], [0.000, 0.500, 0.500]]
}

Entry 4:
{
  "formula": "HoPuZr2As4",
  "functional": "PBE",
  "state": "relaxed",
  "energy_ev_per_atom": -8.054,
  "spacegroup": "P2/m",
  "dos_ef_per_ev_atom": 1.512,
  "crystal_system": "monoclinic",
  "ef_ev_per_fu": -9.83,
  "cell": [[-2.431, -0.420, 3.117], [5.403, 0.234, 4.245], [-2.402, 6.435, -1.006]],
  "species": ["As", "As", "As", "As", "Ho", "Zr", "Zr", "Pu"],
  "frac_coords": [[0.000, 0.246, 0.737], [0.500, 0.745, 0.737], [0.000, 0.754, 0.263], [0.500, 0.255, 0.263], [0.500, 0.500, 0.000], [0.000, 0.500, 0.500], [0.500, 0.000, 0.500], [0.000, 0.000, 0.000]]
}

Entry 5:
{
  "formula": "Rb2HoAsSe4",
  "functional": "PBE",
  "state": "relaxed",
  "energy_ev_per_atom": -4.181,
  "spacegroup": "Imma",
  "formation_energy_uncorrected_ev_per_atom": -1.044,
  "crystal_system": "orthorhombic",
  "cell": [[8.744, 0.001, -0.069], [-0.005, 8.744, -0.069], [-4.317, -4.320, 6.250]],
  "species": ["Se", "Se", "Se", "Se", "Se", "Se", "Se", "Se", "Rb", "Rb", "Rb", "Rb", "Ho", "Ho", "As", "As"],
  "frac_coords": [[0.234, 0.266, 0.043], [0.761, 0.305, 0.533], [0.805, 0.261, 0.033], [0.766, 0.734, 0.543], [0.234, 0.266, 0.457], [0.195, 0.739, 0.967], [0.239, 0.695, 0.467], [0.766, 0.734, 0.957], [0.500, 0.000, 0.500], [0.000, 0.000, 0.500], [0.500, 0.000, 0.000], [0.500, 0.500, 0.000], [0.000, 0.500, 0.500], [0.000, 0.500, 0.000], [0.000, 0.000, 0.000], [0.500, 0.500, 0.500]]
}

Entry 6:
{
  "formula": "Ho3As4Rh7",
  "functional": "PBE",
  "state": "relaxed",
  "energy_ev_per_atom": -6.908,
  "spacegroup": "C2/m",
  "dos_ef_per_ev_atom": 0.565,
  "crystal_system": "monoclinic",
  "ef_ev_per_fu": -12.92,
  "cell": [[3.921, 0.000, 0.989], [1.425, 7.329, 2.616], [-0.010, 0.035, 8.307]],
  "species": ["Ho", "Ho", "Ho", "As", "As", "As", "As", "Rh", "Rh", "Rh", "Rh", "Rh", "Rh", "Rh"],
  "frac_coords": [[0.668, 0.827, 0.838], [0.000, 0.500, 0.500], [0.332, 0.173, 0.162], [0.666, 0.437, 0.230], [0.891, 0.888, 0.330], [0.334, 0.563, 0.770], [0.109, 0.112, 0.670], [0.302, 0.855, 0.540], [0.000, 0.000, 0.000], [0.833, 0.408, 0.926], [0.167, 0.592, 0.074], [0.698, 0.145, 0.460], [0.509, 0.762, 0.220], [0.491, 0.238, 0.780]]
}

Entry 7:
{
  "formula": "Ho3As5Rh6",
  "functional": "PBE",
  "state": "relaxed",
  "energy_ev_per_atom": -6.728,
  "spacegroup": "Pmmn",
  "dos_ef_per_ev_atom": 0.518,
  "crystal_system": "orthorhombic",
  "ef_ev_per_fu": -13.11,
  "cell": [[-3.989, 0.021, 0.079], [-0.122, -8.982, -3.731], [0.207, -4.860, 11.692]],
  "species": ["As", "As", "As", "As", "As", "As", "As", "As", "As", "As", "Ho", "Ho", "Ho", "Ho", "Ho", "Ho", "Rh", "Rh", "Rh", "Rh", "Rh", "Rh", "Rh", "Rh", "Rh", "Rh", "Rh", "Rh"],
  "frac_coords": [[0.500, 0.464, 0.618], [0.000, 0.536, 0.882], [0.500, 0.148, 0.500], [0.000, 0.536, 0.118], [0.500, 0.464, 0.382], [0.500, 0.156, 0.830], [0.500, 0.156, 0.170], [0.000, 0.844, 0.330], [0.000, 0.852, 0.000], [0.000, 0.844, 0.670], [0.500, 0.756, 0.838], [0.000, 0.244, 0.338], [0.500, 0.756, 0.162], [0.000, 0.263, 0.000], [0.500, 0.737, 0.500], [0.000, 0.244, 0.662], [0.000, 0.987, 0.500], [0.500, 0.992, 0.667], [0.000, 0.596, 0.696], [0.500, 0.013, 0.000], [0.500, 0.404, 0.804], [0.500, 0.404, 0.196], [0.000, 0.008, 0.167], [0.500, 0.992, 0.333], [0.000, 0.596, 0.304], [0.000, 0.484, 0.500], [0.000, 0.008, 0.833], [0.500, 0.516, 0.000]]
}

Entry 8:
{
  "formula": "HoAsRh2",
  "functional": "PBE",
  "state": "relaxed",
  "energy_ev_per_atom": -6.798,
  "spacegroup": "Cmcm",
  "dos_ef_per_ev_atom": 0.793,
  "crystal_system": "orthorhombic",
  "ef_ev_per_fu": -3.26,
  "cell": [[4.136, 0.000, 0.000], [-2.068, 7.910, 0.000], [0.000, 0.000, 8.791]],
  "species": ["Rh", "Rh", "Rh", "Rh", "Rh", "Rh", "Rh", "Rh", "As", "As", "As", "As", "Ho", "Ho", "Ho", "Ho"],
  "frac_coords": [[0.299, 0.598, 0.413], [0.049, 0.099, 0.250], [0.117, 0.234, 0.750], [0.701, 0.402, 0.587], [0.299, 0.598, 0.087], [0.883, 0.766, 0.250], [0.701, 0.402, 0.913], [0.951, 0.901, 0.750], [0.140, 0.280, 0.025], [0.140, 0.280, 0.475], [0.860, 0.720, 0.975], [0.860, 0.720, 0.525], [0.500, 0.000, 0.500], [0.694, 0.388, 0.250], [0.500, 0.000, 0.000], [0.306, 0.612, 0.750]]
}

Entry 9:
{
  "formula": "Ho4As6Rh7",
  "functional": "PBE",
  "state": "relaxed",
  "energy_ev_per_atom": -6.763,
  "spacegroup": "Im-3m",
  "dos_ef_per_ev_atom": 0.405,
  "crystal_system": "cubic",
  "ef_ev_per_fu": -17.30,
  "cell": [[-4.222, -2.542, -5.336], [4.262, -5.339, 2.468], [-4.165, 2.471, 5.413]],
  "species": ["As", "As", "As", "As", "As", "As", "Rh", "Rh", "Rh", "Rh", "Rh", "Rh", "Rh", "Ho", "Ho", "Ho", "Ho"],
  "frac_coords": [[0.318, 0.000, 0.318], [0.000, 0.682, 0.682], [0.000, 0.318, 0.318], [0.318, 0.318, 0.000], [0.682, 0.682, 0.000], [0.682, 0.000, 0.682], [0.750, 0.500, 0.250], [0.000, 0.000, 0.000], [0.250, 0.500, 0.750], [0.750, 0.250, 0.500], [0.500, 0.750, 0.250], [0.250, 0.750, 0.500], [0.500, 0.250, 0.750], [0.000, 0.500, 0.000], [0.500, 0.000, 0.000], [0.000, 0.000, 0.500], [0.500, 0.500, 0.500]]
}

Entry 10:
{
  "formula": "Ho2As4Rh5",
  "functional": "PBE",
  "state": "relaxed",
  "energy_ev_per_atom": -6.555,
  "spacegroup": "Fmmm",
  "dos_ef_per_ev_atom": 0.504,
  "crystal_system": "orthorhombic",
  "ef_ev_per_fu": -7.59,
  "cell": [[5.512, 0.000, 0.000], [2.756, 4.820, 0.000], [2.756, 0.000, 7.506]],
  "species": ["Rh", "Rh", "Rh", "Rh", "Rh", "As", "As", "As", "As", "Ho", "Ho"],
  "frac_coords": [[0.750, 0.500, 0.500], [0.500, 0.000, 0.000], [0.250, 0.500, 0.500], [0.000, 0.500, 0.000], [0.500, 0.500, 0.000], [0.215, 0.312, 0.259], [0.473, 0.312, 0.741], [0.785, 0.688, 0.741], [0.527, 0.688, 0.259], [0.872, 0.000, 0.255], [0.128, 0.000, 0.745]]
}

Entry 11:
{
  "formula": "HoAs2Rh4",
  "functional": "PBE",
  "state": "relaxed",
  "energy_ev_per_atom": -6.885,
  "spacegroup": "P4_2/mnm",
  "dos_ef_per_ev_atom": 0.759,
  "crystal_system": "tetragonal",
  "e_above_lowest_polymorph_mev_per_atom": 0,
  "ef_ev_per_fu": -4.91,
  "cell": [[-0.278, -2.642, 2.787], [-4.319, -4.441, -4.641], [6.400, -3.462, -2.643]],
  "species": ["Ho", "Ho", "Rh", "Rh", "Rh", "Rh", "Rh", "Rh", "Rh", "Rh", "As", "As", "As", "As"],
  "frac_coords": [[0.000, 0.500, 0.500], [0.500, 0.000, 0.000], [0.000, 0.671, 0.927], [0.000, 0.073, 0.329], [0.500, 0.427, 0.829], [0.500, 0.171, 0.573], [0.500, 0.829, 0.427], [0.000, 0.329, 0.073], [0.500, 0.573, 0.171], [0.000, 0.927, 0.671], [0.500, 0.730, 0.730], [0.000, 0.770, 0.230], [0.500, 0.270, 0.270], [0.000, 0.230, 0.770]]
}

Entry 12:
{
  "formula": "HoAsRh2",
  "functional": "PBE",
  "state": "relaxed",
  "energy_ev_per_atom": -6.685,
  "spacegroup": "P4/mmm",
  "dos_ef_per_ev_atom": 0.596,
  "crystal_system": "tetragonal",
  "ef_ev_per_fu": -2.81,
  "cell": [[-2.858, 2.113, 1.446], [-2.417, -1.016, -3.294], [-1.431, -3.365, 2.088]],
  "species": ["Rh", "Rh", "As", "Ho"],
  "frac_coords": [[0.000, 0.000, 0.500], [0.000, 0.500, 0.000], [0.500, 0.000, 0.000], [0.500, 0.500, 0.500]]
}